LaCeRu | Alexandria | PBE-GGA | optimized geometry; total magnetic moment = 0.0 μB/f.u.; calculated total energy = -20.88 eV/f.u.; N(E_F) = 3.838 states/eV/f.u.; ΔE to the lowest computed polymorph = 0.012 eV/atom; calculated volume = 174 Å³/cell; formation energy = -248 meV per atom; symmetry = P-1, No. 2
1.0
4.107 0.000 0.000
-2.046 3.573 0.000
-0.027 -2.356 11.885
La Ce Ru
2 2 2
direct
0.118 0.230 0.353
0.882 0.770 0.647
0.299 0.604 0.897
0.701 0.396 0.103
0.403 0.799 0.208
0.597 0.201 0.792